Here is crystalline KSn2As2 at its relaxed geometry from Alexandria via LeMat-Bulk. Energies are from PBE.

Summary:
N(E_F) = 4.8 states/eV/cell
DFT formation energy = -0.185 eV per atom
Energy = -38.7 eV/cell
Size of the total moment = 0.000 μB/cell
SG = I4/mmm, No. 139

Cell lengths 5.3491, 5.3491, 9.9238 Å; angles 90.00, 90.00, 90.00 degrees
Fractional positions:
K1 0.0000 0.0000 0.0000
K2 0.5000 0.5000 0.5000
Sn1 0.0000 0.0000 0.3468
Sn2 0.0000 0.0000 0.6532
Sn3 0.5000 0.5000 0.1532
Sn4 0.5000 0.5000 0.8468
As1 0.0000 0.5000 0.2500
As2 0.0000 0.5000 0.7500
As3 0.5000 0.0000 0.2500
As4 0.5000 0.0000 0.7500